Entry 1:
Al2TeW | PBE | optimized geometry

a b c (Å): 4.274 4.274 7.895
angles (deg): 90.00 90.00 90.00
Fractional coordinates of all 8 atoms:
Al: 0.000 0.000 0.000
Al: 0.000 0.500 0.250
Al: 0.500 0.000 0.750
Al: 0.500 0.500 0.500
Te: 0.000 0.500 0.750
Te: 0.500 0.000 0.250
W: 0.000 0.000 0.500
W: 0.500 0.500 0.000



Entry 2:
Al2TeW | PBE | optimized geometry

a b c (Å): 4.651 4.651 3.337
angles (deg): 90.00 90.00 90.00
Fractional coordinates of all 4 atoms:
Al: 0.000 0.500 0.000
Al: 0.500 0.000 0.000
Te: 0.000 0.000 0.500
W: 0.500 0.500 0.500



Entry 3:
Al2ZnTeW | PBE | optimized geometry

a b c (Å): 4.972 4.972 4.991
angles (deg): 90.00 90.00 90.00
Fractional coordinates of all 5 atoms:
Al: 0.000 0.500 0.000
Al: 0.500 0.000 0.000
Zn: 0.000 0.000 0.500
Te: 0.500 0.500 0.500
W: 0.000 0.000 0.000



Entry 4:
Y2AlTe4 | PBE | optimized geometry

a b c (Å): 15.474 4.261 7.537
angles (deg): 90.00 118.85 90.00
Fractional coordinates of all 14 atoms:
Y: 0.245 0.000 0.229
Y: 0.255 0.500 0.771
Y: 0.745 0.500 0.229
Y: 0.755 0.000 0.771
Al: 0.000 0.500 0.500
Al: 0.500 0.000 0.500
Te: 0.110 0.500 0.940
Te: 0.118 0.000 0.452
Te: 0.382 0.500 0.548
Te: 0.390 0.000 0.060
Te: 0.610 0.000 0.940
Te: 0.618 0.500 0.452
Te: 0.882 0.000 0.548
Te: 0.890 0.500 0.060



no.,D(E_F) (states/eV/atom),total energy (eV/atom)
1,0.97,-5.328
2,0.36,-5.425
3,1.24,-4.021
4,0.36,-5.196